DFT (PBE) results for a relaxed ZrRe2Mo crystal.

Cell lengths 2.785, 2.785, 9.087 Å; angles 90.00, 90.00, 110.17 degrees
Fractional coordinates of all 4 atoms:
1 Zr 0.000 0.000 0.000
2 Re 0.500 0.500 0.262
3 Re 0.500 0.500 0.738
4 Mo 0.000 0.000 0.500

Results
- symmetry = Cmmm
- VASP energy (eV per atom) = -11.033